No. 1
An optimized crystal structure of Hf2Mg2Os. Source: the Alexandria database, functional PBE.

Cell: 6.8005 6.8005 4.1538 Å, 90.00 90.00 90.00°
Fractional positions:
Hf (0.1766, 0.3234, 0.0000)
Hf (0.3234, 0.8234, 0.0000)
Hf (0.6766, 0.1766, 0.0000)
Hf (0.8234, 0.6766, 0.0000)
Mg (0.1341, 0.6341, 0.5000)
Mg (0.3659, 0.1341, 0.5000)
Mg (0.6341, 0.8659, 0.5000)
Mg (0.8659, 0.3659, 0.5000)
Os (0.0000, 0.0000, 0.5000)
Os (0.5000, 0.5000, 0.5000)

Properties
The calculation puts the excess energy over the best structure of this formula in the dataset at 0.00 kJ/mol of atoms. The value obtained for the formation energy is 2.28 eV per formula unit. For the density of states at the Fermi level, the calculation gives 9.45 states/eV per cell. The calculation puts the theoretical density at 10.30 g/cm3. The magnetic moment is 0.0 μB/cell.

***

No. 2
An optimized crystal structure of Hf2Mg2Os. Source: the Alexandria database, functional PBE.

Cell: 7.4877 7.4877 7.4877 Å, 150.51 150.51 42.20°
Fractional positions:
Hf (0.2500, 0.7500, 0.5000)
Hf (0.7500, 0.2500, 0.5000)
Mg (0.0867, 0.0867, 0.0000)
Mg (0.9133, 0.9133, 0.0000)
Os (0.5000, 0.5000, 0.0000)

Properties
The calculation puts the excess energy over the best structure of this formula in the dataset at 44.23 kJ/mol of atoms. The value obtained for the formation energy is 4.57 eV per formula unit. For the density of states at the Fermi level, the calculation gives 2.24 states/eV per cell. The calculation puts the theoretical density at 9.75 g/cm3. The magnetic moment is 0.0 μB/cell.

***

No. 3
An optimized crystal structure of HfMg2OsPd. Source: the Alexandria database, functional PBE.

Cell: 4.5194 4.5194 5.0769 Å, 90.00 90.00 90.00°
Fractional positions:
Hf (0.0000, 0.0000, 0.0000)
Mg (0.0000, 0.5000, 0.5000)
Mg (0.5000, 0.0000, 0.5000)
Os (0.5000, 0.5000, 0.0000)
Pd (0.5000, 0.5000, 0.5000)

Properties
The value obtained for the formation energy is 3.51 eV per formula unit. For the density of states at the Fermi level, the calculation gives 5.71 states/eV per cell. The calculation puts the theoretical density at 8.39 g/cm3. The magnetic moment is 0.0 μB/cell.

***

No. 4
An optimized crystal structure of HfMgOsRu2. Source: the Alexandria database, functional PBE.

Cell: 4.6264 4.6264 5.0059 Å, 90.00 90.00 90.00°
Fractional positions:
Hf (0.0000, 0.0000, 0.0000)
Mg (0.0000, 0.0000, 0.5000)
Os (0.5000, 0.5000, 0.5000)
Ru (0.0000, 0.5000, 0.0000)
Ru (0.5000, 0.0000, 0.0000)

Properties
The value obtained for the formation energy is 10.06 eV per formula unit. For the density of states at the Fermi level, the calculation gives 6.02 states/eV per cell. The calculation puts the theoretical density at 9.22 g/cm3. The magnetic moment is 2.7 μB/cell.

***

No. 5
An optimized crystal structure of HfMgOs2S. Source: the Alexandria database, functional PBE.

Cell: 4.4904 4.4904 5.0228 Å, 90.00 90.00 90.00°
Fractional positions:
Hf (0.0000, 0.0000, 0.0000)
Mg (0.0000, 0.0000, 0.5000)
Os (0.0000, 0.5000, 0.5000)
Os (0.5000, 0.0000, 0.5000)
S (0.5000, 0.5000, 0.0000)

Properties
The total energy comes out at -5.60 eV per atom. For the density of states at the Fermi level, the calculation gives 4.15 states/eV per cell. The calculation puts the theoretical density at 10.09 g/cm3. The magnetic moment is 1.8 μB/cell.

***

No. 6
An optimized crystal structure of Hf2MgVOs. Source: the Alexandria database, functional PBE.

Cell: 4.9094 4.9094 4.2378 Å, 90.00 90.00 90.00°
Fractional positions:
Hf (0.0000, 0.5000, 0.0000)
Hf (0.5000, 0.0000, 0.0000)
Mg (0.0000, 0.0000, 0.0000)
V (0.0000, 0.0000, 0.5000)
Os (0.5000, 0.5000, 0.5000)

Properties
The value obtained for the formation energy is 8.63 eV per formula unit. For the density of states at the Fermi level, the calculation gives 6.24 states/eV per cell. The calculation puts the theoretical density at 10.12 g/cm3. The magnetic moment is 1.8 μB/cell.

***

No. 7
An optimized crystal structure of HfMgP2. Source: the Alexandria database, functional PBE.

Cell: 6.5754 6.5754 6.5754 Å, 33.02 33.02 33.02°
Fractional positions:
Hf (0.0000, 0.0000, 0.0000)
Mg (0.5000, 0.5000, 0.5000)
P (0.2522, 0.2522, 0.2522)
P (0.7478, 0.7478, 0.7478)

Properties
The value obtained for the formation energy is -3.60 eV per formula unit. For the density of states at the Fermi level, the calculation gives 0.52 states/eV per cell. The calculation puts the theoretical density at 5.85 g/cm3. The magnetic moment is 0.0 μB/cell.

***

No. 8
An optimized crystal structure of HfMgP. Source: the Alexandria database, functional PBE.

Cell: 7.2824 7.2824 7.2824 Å, 35.89 35.89 35.89°
Fractional positions:
Hf (0.1089, 0.1089, 0.1089)
Hf (0.8911, 0.8911, 0.8911)
Mg (0.3631, 0.3631, 0.3631)
Mg (0.6369, 0.6369, 0.6369)
P (0.2342, 0.2342, 0.2342)
P (0.7658, 0.7658, 0.7658)

Properties
The value obtained for the formation energy is -1.16 eV per formula unit. For the density of states at the Fermi level, the calculation gives 5.57 states/eV per cell. The calculation puts the theoretical density at 6.54 g/cm3. The magnetic moment is 0.0 μB/cell.

***

No. 9
An optimized crystal structure of Hf2Mg2P. Source: the Alexandria database, functional PBE.

Cell: 6.6859 6.6859 4.9697 Å, 90.00 90.00 90.00°
Fractional positions:
Hf (0.1593, 0.3407, 0.0000)
Hf (0.3407, 0.8407, 0.0000)
Hf (0.6593, 0.1593, 0.0000)
Hf (0.8407, 0.6593, 0.0000)
Mg (0.1505, 0.6505, 0.5000)
Mg (0.3495, 0.1505, 0.5000)
Mg (0.6505, 0.8495, 0.5000)
Mg (0.8495, 0.3495, 0.5000)
P (0.0000, 0.0000, 0.0000)
P (0.5000, 0.5000, 0.0000)

Properties
The value obtained for the formation energy is -1.31 eV per formula unit. For the density of states at the Fermi level, the calculation gives 8.27 states/eV per cell. The calculation puts the theoretical density at 6.53 g/cm3. The magnetic moment is 0.0 μB/cell.

***

No. 10
An optimized crystal structure of Hf2MgP. Source: the Alexandria database, functional PBE.

Cell: 4.7166 4.7166 4.7166 Å, 60.00 60.00 60.00°
Fractional positions:
Hf (0.2500, 0.2500, 0.2500)
Hf (0.7500, 0.7500, 0.7500)
Mg (0.0000, 0.0000, 0.0000)
P (0.5000, 0.5000, 0.5000)

Properties
The calculation puts the excess energy over the best structure of this formula in the dataset at 45.08 kJ/mol of atoms. The value obtained for the formation energy is -0.17 eV per formula unit. For the density of states at the Fermi level, the calculation gives 3.73 states/eV per cell. The calculation puts the theoretical density at 9.23 g/cm3. The magnetic moment is 0.0 μB/cell.

***

No. 11
An optimized crystal structure of HfMgP3. Source: the Alexandria database, functional PBE.

Cell: 4.6443 4.6443 4.6443 Å, 90.00 90.00 90.00°
Fractional positions:
Hf (0.0000, 0.0000, 0.0000)
Mg (0.5000, 0.5000, 0.5000)
P (0.0000, 0.5000, 0.5000)
P (0.5000, 0.0000, 0.5000)
P (0.5000, 0.5000, 0.0000)

Properties
The calculation puts the excess energy over the best structure of this formula in the dataset at 54.83 kJ/mol of atoms. The value obtained for the formation energy is 3.73 eV per formula unit. For the density of states at the Fermi level, the calculation gives 4.50 states/eV per cell. The calculation puts the theoretical density at 4.90 g/cm3. The magnetic moment is 0.0 μB/cell.

***

No. 12
An optimized crystal structure of HfMgP3. Source: the Alexandria database, functional PBE.

Cell: 4.9561 4.9561 4.9561 Å, 90.00 90.00 90.00°
Fractional positions:
Hf (0.0000, 0.0000, 0.0000)
Mg (0.5000, 0.5000, 0.5000)
P (0.0000, 0.0000, 0.5000)
P (0.0000, 0.5000, 0.0000)
P (0.5000, 0.0000, 0.0000)

Properties
The calculation puts the excess energy over the best structure of this formula in the dataset at 0.00 kJ/mol of atoms. The value obtained for the formation energy is 0.89 eV per formula unit. For the density of states at the Fermi level, the calculation gives 3.30 states/eV per cell. The calculation puts the theoretical density at 4.03 g/cm3. The magnetic moment is 0.0 μB/cell.

***

No. 13
An optimized crystal structure of HfMgP2. Source: the Alexandria database, functional PBE.

Cell: 6.6694 6.6694 6.6694 Å, 32.50 32.50 32.50°
Fractional positions:
Hf (0.0000, 0.0000, 0.0000)
Mg (0.8295, 0.8295, 0.8295)
P (0.4126, 0.4126, 0.4126)
P (0.5863, 0.5863, 0.5863)

Properties
The value obtained for the formation energy is -3.35 eV per formula unit. For the density of states at the Fermi level, the calculation gives 0.59 states/eV per cell. The calculation puts the theoretical density at 5.77 g/cm3. The magnetic moment is 0.0 μB/cell.